Record 1
A geometry-optimized Rh3Pb2S4 structure, computed with PBE.

POSCAR file:
```
Rh3Pb2S4
1.0
6.0764 -0.3076 0.0000
-3.0964 5.2373 0.0000
-1.4900 -2.4648 5.9107
Rh Pb S
3 2 4
Cartesian
3.0382 -0.1538 0.0000
0.0000 0.0000 0.0000
-1.5482 2.6186 0.0000
1.4900 2.4648 1.6136
0.0000 0.0000 4.2971
-3.1117 1.8810 4.3018
3.1117 -1.8810 4.3018
4.6016 0.5839 1.6088
-1.6217 4.3458 1.6088
```

Computed properties:
Uncorrected formation energy: -315 meV/atom
Magnetization: 0.00 μB per formula unit
Crystal system: orthorhombic
ρ: 7.7 g cm⁻³


Record 2
A geometry-optimized TaTc2Mo structure, computed with PBE.

POSCAR file:
```
TaTc2Mo
1.0
-0.3441 -3.8938 3.4884
3.6688 -0.3727 -3.6631
2.2700 0.5455 1.4835
Mo Ta Tc
1 1 2
Cartesian
2.9694 0.0864 -1.0898
1.6623 -2.1333 -0.0873
0.0000 0.0000 0.0000
0.9629 -1.6741 2.4860
```

Computed properties:
Magnetization: 0.00 μB per formula unit
Crystal system: monoclinic
Energy of formation from the pure elements: -0.07 eV per atom
ρ: 12.5 g cm⁻³


Record 3
A geometry-optimized Sr2Pt3 structure, computed with PBE.

POSCAR file:
```
Sr2Pt3
1.0
-5.9028 -2.6654 -5.0118
-4.6997 -6.1722 -2.6234
-7.4813 -3.1990 -0.9286
Sr Pt
2 3
Cartesian
-10.6825 -7.1103 -5.0588
-7.4013 -4.9264 -3.5050
0.0000 0.0000 0.0000
-15.0765 -10.0350 -7.1397
-3.0073 -2.0017 -1.4241
```

Computed properties:
Magnetization: 0.00 μB per formula unit
Crystal system: trigonal
Energy of formation from the pure elements: -0.71 eV per atom
ρ: 9.6 g cm⁻³


Record 4
A geometry-optimized Rb3IO6 structure, computed with PBE.

POSCAR file:
```
Rb3IO6
1.0
6.6216 0.0579 0.0409
3.2196 5.7001 0.0295
3.2196 1.9328 5.3625
Rb I O
3 1 6
Cartesian
3.2806 1.9039 1.3449
9.7803 5.7870 4.0880
0.0000 0.0000 0.0000
6.5304 3.8454 2.7165
5.2198 2.8647 3.6576
7.8411 3.2862 3.9553
7.8411 4.8261 1.7754
5.2198 4.4047 1.4777
6.1669 5.3587 3.7855
6.8940 2.3321 1.6475
```

Computed properties:
Uncorrected formation energy: -913 meV/atom
Magnetization: 2.00 μB per formula unit
Crystal system: monoclinic
ρ: 4.0 g cm⁻³